No. 1
The following is a PBE calculation of a geometry-optimized Pa2SeCl2 structure, from Alexandria via LeMat-Bulk.

Properties
Fermi-level density of states ... 5.03 states/eV per cell

a = 3.514 Å, b = 3.514 Å, c = 12.128 Å
α = 81.67°, β = 81.67°, γ = 60.00°
Element x y z (fractional)
Cl  0.220  0.220  0.340
Pa  0.609  0.609  0.174
Cl  0.780  0.780  0.660
Se  0.000  0.000  0.000
Pa  0.391  0.391  0.826

=====

No. 2
The following is a PBE calculation of a geometry-optimized SrCaCu3 structure, from Alexandria via LeMat-Bulk.

Properties
Fermi-level density of states ... 2.39 states/eV per cell

a = 5.185 Å, b = 5.185 Å, c = 5.185 Å
α = 90.00°, β = 90.00°, γ = 90.00°
Element x y z (fractional)
Ca  0.000  0.000  0.000
Cu  0.500  0.000  0.000
Sr  0.500  0.500  0.500
Cu  0.000  0.000  0.500
Cu  0.000  0.500  0.000

=====

No. 3
The following is a PBE calculation of a geometry-optimized SrNiSN2 structure, from Alexandria via LeMat-Bulk.

Properties
Fermi-level density of states ... 2.71 states/eV per cell

a = 3.963 Å, b = 3.963 Å, c = 4.804 Å
α = 90.00°, β = 90.00°, γ = 90.00°
Each line ends with the local moment (μB).
Element x y z (fractional)
N  0.000  0.500  0.000  0.85
N  0.500  0.000  0.000  0.85
Ni  0.000  0.000  0.000  0.47
Sr  0.500  0.500  0.500  0.01
S  0.000  0.000  0.500  0.09

=====

No. 4
The following is a PBE calculation of a geometry-optimized CsNF structure, from Alexandria via LeMat-Bulk.

Properties
Fermi-level density of states ... 0.00 states/eV per cell

a = 4.205 Å, b = 8.442 Å, c = 10.243 Å
α = 79.32°, β = 90.00°, γ = 90.00°
Element x y z (fractional)
F  0.750  0.907  0.361
Cs  0.749  0.340  0.655
Cs  0.751  0.840  0.655
Cs  0.251  0.660  0.345
F  0.750  0.407  0.361
N  0.438  0.048  0.020
N  0.938  0.452  0.980
N  0.562  0.952  0.980
F  0.250  0.093  0.639
N  0.062  0.548  0.020
F  0.250  0.593  0.639
Cs  0.249  0.160  0.345

=====

No. 5
The following is a PBE calculation of a geometry-optimized SrCa2Se structure, from Alexandria via LeMat-Bulk.

Properties
Fermi-level density of states ... 3.78 states/eV per cell

a = 4.752 Å, b = 4.752 Å, c = 6.188 Å
α = 90.00°, β = 90.00°, γ = 90.00°
Element x y z (fractional)
Ca  0.000  0.000  0.000
Se  0.500  0.000  0.500
Sr  0.000  0.500  0.500
Ca  0.500  0.500  0.000

=====

No. 6
The following is a PBE calculation of a geometry-optimized ZnAuF2 structure, from Alexandria via LeMat-Bulk.

Properties
Fermi-level density of states ... 0.11 states/eV per cell

a = 5.574 Å, b = 5.574 Å, c = 5.759 Å
α = 61.06°, β = 61.06°, γ = 90.00°
Element x y z (fractional)
Au  0.750  0.250  0.500
F  0.512  0.125  0.250
F  0.875  0.762  0.750
Au  0.000  0.000  0.000
F  0.375  0.488  0.750
F  0.238  0.625  0.250
Zn  0.500  0.500  0.000
Zn  0.250  0.750  0.500

=====

no.,M_tot (μB per cell),E_tot (eV/atom)
1,0.0,-6.61
2,0.0,-2.69
3,3.0,-5.32
4,0.0,-5.42
5,0.0,-2.79
6,0.0,-3.16